Al2Ni8As | PBE-GGA | relaxed

```
Al2Ni8As
1.0
-1.667 3.583 -1.060
-4.256 -1.162 2.767
5.476 1.435 4.138
As Ni Al
1 8 2
Cartesian
-0.834 1.792 -0.530 As
0.771 1.601 4.201 Ni
-1.219 2.255 1.644 Ni
2.707 4.717 3.793 Ni
-3.155 -0.861 2.052 Ni
-1.352 2.904 4.049 Ni
-3.245 1.703 2.966 Ni
0.904 0.952 1.797 Ni
2.797 2.153 2.879 Ni
0.747 3.456 2.611 Al
-1.195 0.400 3.234 Al
```

Output
The value obtained for the total energy is -5.63 eV per atom.

AlNiAs2 | PBE-GGA | relaxed

```
AlNiAs2
1.0
-1.476 -2.472 2.915
0.832 -3.663 1.637
3.896 3.178 4.076
As Al Ni
2 1 1
Cartesian
-0.298 -5.448 4.539 As
1.992 -2.996 6.390 As
0.992 -0.445 2.206 Al
1.547 -1.680 4.360 Ni
```

Output
The value obtained for the total energy is -4.85 eV per atom.

AlNi2As | PBE-GGA | relaxed

```
AlNi2As
1.0
-2.874 -0.161 -1.324
-1.301 -0.982 2.942
-0.821 4.709 1.209
Ni Al As
2 1 1
Cartesian
-2.313 0.723 1.142 Ni
-0.797 4.571 1.174 Ni
-0.380 2.182 0.560 Al
-2.736 3.153 1.766 As
```

Output
The value obtained for the total energy is -5.31 eV per atom.

Which value of total energy does entry 1 give? -5.63 eV per atom